The following is a DFT calculation (PBE-GGA) of an optimized crystal structure of CeEr2AlAu4.

- Size of the total moment: 1.03 μB/f.u.
- Volume: 22.4 A^3/atom
- Total DFT energy (no corrections): -112.24 eV for the cell shown
- D(E_F): 29.75 states/eV/cell
- Crystal system: trigonal

Structure (CIF):
```
data_CeEr2AlAu4
_symmetry_space_group_name_H-M 'R -3 m'
_symmetry_Int_Tables_number 166
_symmetry_space_group_name_Hall '-R 3 2"'
_cell_length_a 4.9182
_cell_length_b 4.9182
_cell_length_c 25.6441
_cell_angle_alpha 90.00
_cell_angle_beta 90.00
_cell_angle_gamma 120.00
loop_
_atom_site_label
_atom_site_fract_x
_atom_site_fract_y
_atom_site_fract_z
_atom_site_occupancy
Ce1 0.0000 0.0000 0.0000 1
Er1 0.0000 0.0000 0.2391 1
Al1 0.0000 0.0000 0.5000 1
Au1 0.0000 0.0000 0.1225 1
Au2 0.0000 0.0000 0.3927 1
```